[1]
Density functional theory data (PBE) for a geometry-optimized Pm5SiI4 structure.

## Properties
- Volume: 311 Å³/cell
- SG: I4/m
- ΔE_f (raw): -0.830 eV per atom
- M_tot: 0.0 Bohr magnetons per cell

Cell lengths 7.751, 7.751, 7.751 Å; angles 99.00, 99.00, 133.41 degrees
Fractional positions:
Pm  0.000  0.000  0.000
Pm  0.246  0.389  0.635
Pm  0.389  0.754  0.143
Pm  0.611  0.246  0.857
Pm  0.754  0.611  0.365
Si  0.500  0.500  0.000
I  0.083  0.679  0.762
I  0.321  0.083  0.404
I  0.679  0.917  0.596
I  0.917  0.321  0.238

***

[2]
Density functional theory data (PBE) for a geometry-optimized Pm4SiI structure.

## Properties
- Volume: 406 Å³/cell
- SG: C2/c
- ΔE_f (raw): -0.429 eV per atom
- M_tot: 0.0 Bohr magnetons per cell

Cell lengths 9.093, 9.093, 7.228 Å; angles 104.58, 104.58, 125.51 degrees
Fractional positions:
Pm  0.013  0.410  0.236
Pm  0.148  0.290  0.722
Pm  0.290  0.148  0.222
Pm  0.410  0.013  0.736
Pm  0.590  0.987  0.264
Pm  0.710  0.852  0.778
Pm  0.852  0.710  0.278
Pm  0.987  0.590  0.764
Si  0.060  0.940  0.750
Si  0.940  0.060  0.250
I  0.433  0.567  0.250
I  0.567  0.433  0.750

***

[3]
Density functional theory data (PBE) for a geometry-optimized Pm12Si6I structure.

## Properties
- Volume: 600 Å³/cell
- SG: R-3m
- ΔE_f (raw): -0.352 eV per atom
- M_tot: 0.0 Bohr magnetons per cell

Cell lengths 8.868, 8.868, 8.868 Å; angles 105.69, 105.69, 105.69 degrees
Fractional positions:
Pm  0.000  0.362  0.638
Pm  0.000  0.638  0.362
Pm  0.062  0.062  0.326
Pm  0.062  0.326  0.062
Pm  0.326  0.062  0.062
Pm  0.362  0.000  0.638
Pm  0.362  0.638  0.000
Pm  0.638  0.000  0.362
Pm  0.638  0.362  0.000
Pm  0.674  0.938  0.938
Pm  0.938  0.674  0.938
Pm  0.938  0.938  0.674
Si  0.167  0.746  0.746
Si  0.254  0.254  0.833
Si  0.254  0.833  0.254
Si  0.746  0.167  0.746
Si  0.746  0.746  0.167
Si  0.833  0.254  0.254
I  0.500  0.500  0.500

***

| no. | density (g/cm3) |
| --- | --- |
| 1 | 6.74 |
| 2 | 6.01 |
| 3 | 5.63 |